# InFe2Si, relaxed, DFT PBE
data_InFe2Si
_symmetry_space_group_name_H-M 'P 4/m m m'
_symmetry_Int_Tables_number 123
_symmetry_space_group_name_Hall '-P 4 2'
_cell_length_a 2.847
_cell_length_b 2.847
_cell_length_c 6.508
_cell_angle_alpha 90.00
_cell_angle_beta 90.00
_cell_angle_gamma 90.00
loop_
_atom_site_label
_atom_site_type_symbol
_atom_site_fract_x
_atom_site_fract_y
_atom_site_fract_z
In1 In 0.000 0.000 0.000
Fe1 Fe 0.500 0.500 0.303
Si1 Si 0.000 0.000 0.500
# Fermi-level density of states: 0.93 states/eV/atom
# raw formation energy: -0.0358 eV per atom